11
Lattice="-0.801 -3.266 -2.687 -5.628 -5.016 7.775 -4.077 3.274 0.684" Properties=species:S:1:pos:R:3 comment="Li4Cd5Hg2 (GGA-PBE, relaxed)" formation_energy_ev_per_atom=-0.218 spacegroup="C2/m, No. 12" pbc="T T T"
Li -4.418 -0.339 1.729
Li -9.052 -4.245 4.412
Li -6.089 -4.669 4.043
Li -1.454 -0.762 1.360
Cd -6.209 -2.688 1.671
Cd -4.297 -2.320 4.101
Cd -3.442 -1.147 -1.028
Cd -0.401 -1.633 -1.344
Cd -7.065 -3.861 6.800
Hg -3.201 -3.035 1.196
Hg -7.305 -1.972 4.576

12
Lattice="-3.892 -0.409 2.708 -3.750 -0.644 -5.488 -1.054 -7.256 1.571" Properties=species:S:1:pos:R:3 comment="Tm6Ni5Pd (GGA-PBE, relaxed)" formation_energy_ev_per_atom=-0.528 spacegroup="Cmmm, No. 65" pbc="T T T"
Ni -5.169 -5.459 0.110
Ni -1.648 -2.562 1.427
Ni -1.875 -0.322 -2.744
Ni -3.298 -5.104 2.852
Ni -3.527 -2.851 -1.318
Tm -6.393 -3.279 -1.320
Tm -4.537 -2.960 1.395
Tm -2.903 -0.369 -0.046
Tm -4.739 -0.684 -2.734
Tm -4.158 -5.349 -2.604
Tm -2.303 -5.030 0.111
Pd 0.000 0.000 0.000

4
Lattice="-2.019 -3.110 2.618 2.458 -2.435 2.938 -1.247 4.391 8.189" Properties=species:S:1:pos:R:3 comment="CsDyTe2 (GGA-PBE, relaxed)" e_form_raw_ev_per_atom=-1.377 spacegroup="R3m, No. 160" pbc="T T T"
Cs -0.409 -0.553 6.897
Dy -0.952 0.685 11.884
Te -0.982 3.204 6.983
Te -0.116 -0.675 3.044

5
Lattice="-0.606 4.708 0.264 -2.283 -0.526 4.138 4.127 0.401 2.328" Properties=species:S:1:pos:R:3 comment="Cd3InB (GGA-PBE, relaxed)" formation_energy_ev_per_atom=0.463 spacegroup="Pm-3m, No. 221" pbc="T T T"
B 0.000 0.000 0.000
Cd -1.141 -0.263 2.069
Cd 2.063 0.200 1.164
Cd -0.303 2.354 0.132
In 0.619 2.291 3.365